Crystalline HfScIr2 at its relaxed geometry. Source: OQMD, functional PBE.

Calculated values
The calculation puts the energy relative to the elements at -0.986 eV/atom. Its symmetry is P4/mmm (123). As for the total magnetization: 0.00 μB per atom.

Cell: 3.143 3.143 6.958 Å, 90.00 90.00 90.00°
Sites, in units of the cell vectors:
Hf  0.000  0.000  0.000
Sc  0.000  0.000  0.500
Ir  0.500  0.500  0.246
Ir  0.500  0.500  0.754